Record 1
Below is crystalline Ca2TlIn at its relaxed geometry, with properties calculated at the PBE level.

Unit cell a=5.406 b=3.972 c=5.407 alpha=90.01 beta=90.00 gamma=90.00
Fractional positions:
Tl 0.500 0.625 0.875
Ca 0.000 0.125 0.875
Ca 0.500 0.125 0.375
In 0.000 0.625 0.375

Magnetic moment ... 0.0 μB per cell
Formation energy from the elements ... -0.45 eV/atom

***

Record 2
Below is crystalline Ce6HgRu5 at its relaxed geometry, with properties calculated at the PBE level.

Unit cell a=7.083 b=7.131 c=6.709 alpha=57.90 beta=81.13 gamma=73.13
Fractional positions:
Ce 0.722 0.095 0.363
Ce 0.278 0.542 0.363
Ce 0.232 0.295 0.000
Ce 0.768 0.705 0.000
Ce 0.722 0.458 0.637
Ce 0.278 0.905 0.637
Hg 0.000 0.000 0.000
Ru 0.500 0.132 0.736
Ru 0.000 0.316 0.367
Ru 0.500 0.500 0.000
Ru 0.000 0.684 0.633
Ru 0.500 0.868 0.264

Relative energy among the computed polymorphs ... 54 meV/atom
Magnetic moment ... 0.0 μB per cell
Formation energy from the elements ... -0.24 eV/atom

***

Record 3
Below is crystalline LiScIr2 at its relaxed geometry, with properties calculated at the PBE level.

Unit cell a=2.836 b=2.836 c=8.370 alpha=90.00 beta=90.00 gamma=113.23
Fractional positions:
Ir 0.000 0.000 0.999
Ir 0.000 0.000 0.501
Li 0.500 0.500 0.250
Sc 0.500 0.500 0.750

Magnetic moment ... 0.0 μB per cell
Formation energy from the elements ... -0.33 eV/atom

***

Record 4
Below is crystalline SrCaTa2 at its relaxed geometry, with properties calculated at the PBE level.

Unit cell a=8.705 b=8.705 c=6.795 alpha=50.17 beta=50.17 gamma=90.00
Site moments in Bohr magnetons follow the coordinates.
Fractional positions:
Sr 0.000 0.000 0.000  0.08
Sr 0.750 0.250 0.500  0.08
Ca 0.500 0.500 0.000  0.10
Ca 0.250 0.750 0.500  0.10
Ta 0.618 0.125 0.250  0.61
Ta 0.132 0.625 0.250  0.61
Ta 0.375 0.382 0.750  0.61
Ta 0.875 0.868 0.750  0.60

Relative energy among the computed polymorphs ... 1116 meV/atom
Magnetic moment ... 4.2 μB per cell
Formation energy from the elements ... 1.55 eV/atom

***

Record 5
Below is crystalline NpBeCoH6 at its relaxed geometry, with properties calculated at the PBE level.

Unit cell a=4.154 b=4.154 c=4.264 alpha=90.00 beta=90.00 gamma=60.00
Site moments in Bohr magnetons follow the coordinates.
Fractional positions:
Np 0.000 0.000 0.000  3.79
Be 0.667 0.667 0.500  -0.01
Co 0.333 0.333 0.500  0.18
H 0.001 0.499 0.246  0.00
H 0.499 0.001 0.753  0.00
H 0.499 0.499 0.753  0.00
H 0.001 0.499 0.753  0.00
H 0.499 0.499 0.246  0.00
H 0.499 0.001 0.246  0.00

Uncorrected energy ... -5.04 eV/atom
Magnetic moment ... 4.2 μB per cell

***

Record 6
Below is crystalline Ho3Tc2C4 at its relaxed geometry, with properties calculated at the PBE level.

Unit cell a=3.283 b=5.606 c=7.325 alpha=97.18 beta=90.00 gamma=107.03
Fractional positions:
Ho 0.381 0.761 0.593
Ho 0.000 0.000 0.000
Ho 0.619 0.239 0.407
Tc 0.294 0.587 0.169
Tc 0.706 0.413 0.831
C 0.658 0.315 0.090
C 0.144 0.287 0.657
C 0.856 0.713 0.343
C 0.342 0.685 0.910

Magnetic moment ... 0.0 μB per cell
Formation energy from the elements ... -0.08 eV/atom

***

Record 7
Below is crystalline La4P2H at its relaxed geometry, with properties calculated at the PBE level.

Unit cell a=4.520 b=4.520 c=8.851 alpha=75.21 beta=75.21 gamma=90.00
Fractional positions:
P 0.365 0.365 0.270
P 0.635 0.635 0.730
H 0.000 0.000 0.000
La 0.180 0.180 0.640
La 0.820 0.820 0.360
La 0.000 0.500 0.000
La 0.500 0.000 0.000

Uncorrected energy ... -5.73 eV/atom
Magnetic moment ... 0.0 μB per cell

***

Record 8
Below is crystalline V3AgSe at its relaxed geometry, with properties calculated at the PBE level.

Unit cell a=4.540 b=4.540 c=4.540 alpha=90.00 beta=90.00 gamma=90.00
Site moments in Bohr magnetons follow the coordinates.
Fractional positions:
Ag 0.500 0.500 0.500  0.04
Se 0.000 0.000 0.000  -0.03
V 0.000 0.500 0.000  1.37
V 0.000 0.000 0.500  1.37
V 0.500 0.000 0.000  1.37

Relative energy among the computed polymorphs ... 0 meV/atom
Magnetic moment ... 4.6 μB per cell

***

Record 9
Below is crystalline ScBiS2 at its relaxed geometry, with properties calculated at the PBE level.

Unit cell a=7.364 b=7.364 c=6.209 alpha=53.63 beta=53.63 gamma=90.00
Fractional positions:
Sc 0.750 0.250 0.500
Sc 0.250 0.750 0.500
S 0.821 0.321 0.000
S 0.179 0.679 0.000
S 0.321 0.179 0.000
S 0.679 0.821 0.000
Bi 0.750 0.750 0.500
Bi 0.250 0.250 0.500

Uncorrected energy ... -5.45 eV/atom
Magnetic moment ... 0.0 μB per cell

***

Record 10
Below is crystalline Sr2SeS at its relaxed geometry, with properties calculated at the PBE level.

Unit cell a=6.880 b=6.880 c=8.271 alpha=65.42 beta=65.42 gamma=90.00
Fractional positions:
Sr 0.609 0.125 0.250
Sr 0.141 0.625 0.250
Sr 0.375 0.391 0.750
Sr 0.875 0.859 0.750
S 0.500 0.500 0.000
S 0.250 0.750 0.500
Se 0.000 0.000 0.000
Se 0.750 0.250 0.500

Relative energy among the computed polymorphs ... 267 meV/atom
Magnetic moment ... 0.0 μB per cell

***

Record 11
Below is crystalline Ho3Ga3Hg at its relaxed geometry, with properties calculated at the PBE level.

Unit cell a=4.435 b=5.881 c=13.545 alpha=83.63 beta=80.58 gamma=67.85
Fractional positions:
Ho 0.526 0.322 0.626
Ho 0.474 0.678 0.374
Ho 0.266 0.251 0.217
Ho 0.734 0.749 0.783
Ho 0.394 0.288 0.925
Ho 0.606 0.712 0.075
Ga 0.879 0.692 0.549
Ga 0.121 0.308 0.451
Ga 0.111 0.852 0.926
Ga 0.889 0.148 0.074
Ga 0.983 0.810 0.223
Ga 0.017 0.190 0.777
Hg 0.761 0.087 0.390
Hg 0.239 0.913 0.610

Relative energy among the computed polymorphs ... 0 meV/atom
Magnetic moment ... 0.0 μB per cell
Formation energy from the elements ... -0.57 eV/atom

***

Record 12
Below is crystalline SrLiV at its relaxed geometry, with properties calculated at the PBE level.

Unit cell a=13.502 b=3.441 c=3.441 alpha=84.99 beta=100.94 gamma=79.06
Fractional positions:
Sr 0.705 0.622 0.378
Sr 0.980 0.908 0.092
V 0.249 0.509 0.491
V 0.162 0.228 0.772
Li 0.372 0.881 0.119
Li 0.496 0.282 0.718

Relative energy among the computed polymorphs ... 12 meV/atom
Magnetic moment ... 0.0 μB per cell
Formation energy from the elements ... 0.46 eV/atom

***

Record 13
Below is crystalline HoPbS3 at its relaxed geometry, with properties calculated at the PBE level.

Unit cell a=4.081 b=9.265 c=7.059 alpha=95.11 beta=90.00 gamma=90.00
Fractional positions:
Ho 0.250 0.863 0.344
Ho 0.750 0.137 0.656
Pb 0.250 0.438 0.226
Pb 0.750 0.562 0.774
S 0.750 0.659 0.406
S 0.250 0.341 0.594
S 0.750 0.321 0.992
S 0.250 0.960 0.711
S 0.250 0.679 0.008
S 0.750 0.040 0.289

Uncorrected energy ... -5.19 eV/atom
Magnetic moment ... 0.0 μB per cell

***

Record 14
Below is crystalline PmYTl at its relaxed geometry, with properties calculated at the PBE level.

Unit cell a=5.229 b=5.229 c=9.178 alpha=73.45 beta=73.45 gamma=60.00
Site moments in Bohr magnetons follow the coordinates.
Fractional positions:
Pm 0.125 0.125 0.624  0.11
Pm 0.875 0.875 0.376  0.11
Y 0.625 0.625 0.124  0.06
Y 0.375 0.375 0.876  0.06
Tl 0.747 0.747 0.760  -0.01
Tl 0.253 0.253 0.240  -0.01

Relative energy among the computed polymorphs ... 224 meV/atom
Magnetic moment ... 0.7 μB per cell
Formation energy from the elements ... -0.07 eV/atom

***

Record 15
Below is crystalline Ti2VSn at its relaxed geometry, with properties calculated at the PBE level.

Unit cell a=2.845 b=4.669 c=10.456 alpha=90.00 beta=97.82 gamma=90.00
Fractional positions:
Ti 0.776 0.250 0.552
Ti 0.224 0.750 0.448
Ti 0.033 0.250 0.066
Ti 0.967 0.750 0.934
V 0.163 0.250 0.326
V 0.837 0.750 0.674
Sn 0.405 0.250 0.811
Sn 0.595 0.750 0.189

Magnetic moment ... 0.0 μB per cell
Formation energy from the elements ... 0.03 eV/atom

***

Record 16
Below is crystalline SmEuTlIn at its relaxed geometry, with properties calculated at the PBE level.

Unit cell a=5.520 b=5.520 c=5.520 alpha=60.00 beta=60.00 gamma=60.00
Site moments in Bohr magnetons follow the coordinates.
Fractional positions:
Eu 0.250 0.250 0.250  -6.88
Tl 0.500 0.500 0.500  -0.01
Sm 0.750 0.750 0.750  -0.10
In 0.000 0.000 0.000  -0.01

Magnetic moment ... 7.4 μB per cell
Formation energy from the elements ... -0.41 eV/atom

***

Record 17
Below is crystalline HfAlC at its relaxed geometry, with properties calculated at the PBE level.

Unit cell a=3.239 b=11.141 c=4.660 alpha=90.00 beta=90.00 gamma=90.00
Fractional positions:
C 0.000 0.176 0.250
C 0.000 0.824 0.750
C 0.500 0.676 0.250
C 0.500 0.324 0.750
Hf 0.000 0.819 0.250
Hf 0.000 0.181 0.750
Hf 0.500 0.319 0.250
Hf 0.500 0.681 0.750
Al 0.000 0.562 0.250
Al 0.000 0.438 0.750
Al 0.500 0.062 0.250
Al 0.500 0.938 0.750

Relative energy among the computed polymorphs ... 103 meV/atom
Magnetic moment ... 0.0 μB per cell
Formation energy from the elements ... -0.43 eV/atom

***

Record 18
Below is crystalline LiIn2Hg5 at its relaxed geometry, with properties calculated at the PBE level.

Unit cell a=6.365 b=6.365 c=6.363 alpha=107.10 beta=107.10 gamma=114.33
Fractional positions:
Li 0.779 0.778 0.000
In 0.277 0.778 0.500
In 0.778 0.278 0.500
Hg 0.278 0.279 0.501
Hg 0.279 0.778 0.000
Hg 0.778 0.278 0.000
Hg 0.778 0.778 0.499
Hg 0.277 0.277 0.000

Magnetic moment ... 0.0 μB per cell
Formation energy from the elements ... -0.06 eV/atom

***

Record 19
Below is crystalline ScTaAs2 at its relaxed geometry, with properties calculated at the PBE level.

Unit cell a=3.673 b=3.673 c=6.875 alpha=74.51 beta=74.51 gamma=60.00
Fractional positions:
Sc 0.670 0.670 0.989
Ta 0.497 0.497 0.508
As 0.085 0.085 0.744
As 0.247 0.247 0.260

Relative energy among the computed polymorphs ... 0 meV/atom
Magnetic moment ... 0.0 μB per cell
Formation energy from the elements ... -0.88 eV/atom

***

Record 20
Below is crystalline AsSe2Cl at its relaxed geometry, with properties calculated at the PBE level.

Unit cell a=5.933 b=5.933 c=5.933 alpha=145.89 beta=131.33 gamma=60.77
Fractional positions:
As 0.750 0.250 0.500
Se 0.949 0.949 0.000
Se 0.551 0.551 0.000
Cl 0.250 0.750 0.500

Relative energy among the computed polymorphs ... 467 meV/atom
Magnetic moment ... 0.0 μB per cell